First-principles (PBE) data for an optimized crystal structure of Li2BeBF, as listed in the Alexandria database.

Properties
- Energy: -2.908 eV/atom

a b c (Å): 4.865 4.865 2.981
angles (deg): 90.00 90.00 90.00
Space group P4/mmm (No. 123)
One atom of each set of equivalent atoms:
1 Li 0.000 0.500 0.000 [2 per cell]
2 Be 0.000 0.000 0.000 [1 per cell]
3 B 0.500 0.500 0.500 [1 per cell]
4 F 0.000 0.000 0.500 [1 per cell]